Entry 1:
Material: Li2Ga3Ru
Method: DFT, GGA-PBE
State: optimized geometry

Summary:
- total magnetic moment (μB/cell) = 0.00
- energy relative to the lowest polymorph listed for this composition (meV per atom) = 19

a = 3.1546 Å, b = 4.2316 Å, c = 12.6261 Å
α = 90.00°, β = 90.00°, γ = 90.00°
Fractional positions:
Li 0.0000 0.0000 0.6653
Li 0.0000 0.0000 0.3347
Li 0.0000 0.5000 0.1653
Li 0.0000 0.5000 0.8347
Ga 0.5000 0.5000 0.6690
Ga 0.5001 0.0000 0.5000
Ga 0.5000 0.5000 0.3310
Ga 0.5000 0.0000 0.1690
Ga 0.4999 0.5000 0.0000
Ga 0.5000 0.0000 0.8310
Ru 0.0001 0.5000 0.5000
Ru 0.9999 0.0000 0.0000

=====

Entry 2:
Material: Pu6RuRh5
Method: DFT, GGA-PBE
State: optimized geometry

Summary:
- total magnetic moment (μB/cell) = 9.74
- calculated total energy (eV per atom) = -11.3470

a = 4.8098 Å, b = 8.6933 Å, c = 8.6933 Å
α = 124.98°, β = 106.06°, γ = 106.06°
Last column: magnetic moment on the atom in μB.
Fractional positions:
Ru 0.0000 0.0000 0.0000  0.17
Rh 0.5000 0.1709 0.8291  -0.24
Rh 0.0000 0.3268 0.6732  -0.24
Rh 0.5000 0.5000 0.5000  0.17
Rh 0.0000 0.6732 0.3268  -0.24
Rh 0.5000 0.8291 0.1709  -0.24
Pu 0.2500 0.0862 0.4139  4.98
Pu 0.7500 0.5861 0.9138  4.98
Pu 0.7489 0.2489 0.2489  -4.95
Pu 0.2511 0.7511 0.7511  -4.95
Pu 0.2500 0.4139 0.0862  4.98
Pu 0.7500 0.9138 0.5861  4.98

=====

Entry 3:
Material: NaHoCl2
Method: DFT, GGA-PBE
State: optimized geometry

Summary:
- total magnetic moment (μB/cell) = 0.00
- calculated total energy (eV per atom) = -3.7718

a = 3.6168 Å, b = 3.6168 Å, c = 10.2436 Å
α = 79.83°, β = 79.83°, γ = 60.00°
Fractional positions:
Na 0.0000 0.0000 0.0000
Ho 0.5000 0.5000 0.5000
Cl 0.1071 0.1071 0.6787
Cl 0.8929 0.8929 0.3213

=====

Entry 4:
Material: TbDyPI
Method: DFT, GGA-PBE
State: optimized geometry

Summary:
- total magnetic moment (μB/cell) = 0.00
- calculated total energy (eV per atom) = -5.3598

a = 4.0568 Å, b = 4.0572 Å, c = 7.8229 Å
α = 90.01°, β = 105.05°, γ = 119.99°
Fractional positions:
Tb 0.5086 0.1523 0.6764
Dy 0.0960 0.9460 0.0570
P 0.3067 0.5513 0.8736
I 0.9665 0.3813 0.3628

=====

Entry 5:
Material: NdDy5Y6
Method: DFT, GGA-PBE
State: optimized geometry

Summary:
- total magnetic moment (μB/cell) = 0.00
- energy relative to the lowest polymorph listed for this composition (meV per atom) = 0

a = 11.8211 Å, b = 6.1826 Å, c = 6.1777 Å
α = 59.97°, β = 85.03°, γ = 80.02°
Fractional positions:
Nd 0.0000 0.0000 0.0000
Dy 0.5000 0.1669 0.6663
Dy 0.0000 0.3333 0.3335
Dy 0.5000 0.5000 0.0000
Dy 0.0000 0.6667 0.6665
Dy 0.5000 0.8331 0.3337
Y 0.7487 0.0835 0.3339
Y 0.2513 0.5826 0.3339
Y 0.2510 0.2506 0.0000
Y 0.7490 0.7494 0.0000
Y 0.7487 0.4174 0.6661
Y 0.2513 0.9165 0.6661

=====

Entry 6:
Material: Al3C
Method: DFT, GGA-PBE
State: optimized geometry

Summary:
- total magnetic moment (μB/cell) = 0.00
- energy relative to the lowest polymorph listed for this composition (meV per atom) = 734

a = 9.0855 Å, b = 9.0855 Å, c = 9.0855 Å
α = 156.30°, β = 156.30°, γ = 33.77°
Fractional positions:
Al 0.0000 0.5000 0.5000
Al 0.5000 0.0000 0.5000
Al 0.7500 0.2500 0.5000
Al 0.2500 0.7500 0.5000
Al 0.8672 0.8672 0.0000
Al 0.1328 0.1328 0.0000
C 0.5544 0.5544 0.0000
C 0.4456 0.4456 0.0000

=====

Entry 7:
Material: Tb5PrSb6
Method: DFT, GGA-PBE
State: optimized geometry

Summary:
- total magnetic moment (μB/cell) = 0.00
- calculated total energy (eV per atom) = -5.5405

a = 7.6723 Å, b = 7.6715 Å, c = 7.6730 Å
α = 60.01°, β = 80.39°, γ = 70.49°
Fractional positions:
Tb 0.5000 0.1644 0.6712
Tb 0.0000 0.3326 0.3348
Tb 0.5000 0.5000 0.0000
Tb 0.0000 0.6674 0.6652
Tb 0.5000 0.8356 0.3288
Pr 0.0000 0.0000 0.0000
Sb 0.7460 0.0849 0.3386
Sb 0.2540 0.5764 0.3386
Sb 0.2518 0.2551 0.0000
Sb 0.7482 0.7449 0.0000
Sb 0.7460 0.4236 0.6614
Sb 0.2540 0.9151 0.6614

=====

Entry 8:
Material: ZnNi6Ir
Method: DFT, GGA-PBE
State: optimized geometry

Summary:
- total magnetic moment (μB/cell) = 3.10
- energy relative to the lowest polymorph listed for this composition (meV per atom) = 5

a = 3.6072 Å, b = 3.6072 Å, c = 7.1776 Å
α = 90.00°, β = 90.00°, γ = 90.00°
Last column: magnetic moment on the atom in μB.
Fractional positions:
Zn 0.0000 0.0000 0.0000  -0.02
Ni 0.5000 0.5000 0.0000  0.40
Ni 0.5000 0.5000 0.5000  0.37
Ni 0.5000 0.0000 0.2490  0.47
Ni 0.5000 0.0000 0.7510  0.47
Ni 0.0000 0.5000 0.2490  0.47
Ni 0.0000 0.5000 0.7510  0.47
Ir 0.0000 0.0000 0.5000  0.60

=====

Entry 9:
Material: Tl4O5F
Method: DFT, GGA-PBE
State: optimized geometry

Summary:
- total magnetic moment (μB/cell) = 0.00
- calculated total energy (eV per atom) = -4.3807

a = 5.6384 Å, b = 7.1228 Å, c = 8.2093 Å
α = 90.00°, β = 90.00°, γ = 90.00°
Fractional positions:
Tl 0.0133 0.0000 0.7374
Tl 0.5115 0.7432 0.0000
Tl 0.5115 0.2568 0.0000
Tl 0.0133 0.0000 0.2626
Tl 0.9867 0.5000 0.2374
Tl 0.4885 0.7568 0.5000
Tl 0.4885 0.2432 0.5000
Tl 0.9867 0.5000 0.7626
O 0.2458 0.7453 0.7971
O 0.2458 0.2547 0.7971
O 0.7601 0.5000 0.0000
O 0.2458 0.7453 0.2029
O 0.2458 0.2547 0.2029
O 0.7542 0.7547 0.2971
O 0.7542 0.2453 0.2971
O 0.2399 0.0000 0.5000
O 0.7542 0.2453 0.7029
O 0.7542 0.7547 0.7029
F 0.7810 0.0000 0.0000
F 0.2190 0.5000 0.5000

=====

Entry 10:
Material: NdZrNi2
Method: DFT, GGA-PBE
State: optimized geometry

Summary:
- total magnetic moment (μB/cell) = 0.00
- energy relative to the lowest polymorph listed for this composition (meV per atom) = 22

a = 4.4135 Å, b = 4.4135 Å, c = 5.4356 Å
α = 66.05°, β = 66.05°, γ = 60.00°
Fractional positions:
Ni 0.7072 0.7072 0.8785
Ni 0.2928 0.2928 0.1215
Nd 0.5000 0.5000 0.5000
Zr 0.0000 0.0000 0.0000

=====

Entry 11:
Material: TlCdSCl
Method: DFT, GGA-PBE
State: optimized geometry

Summary:
- total magnetic moment (μB/cell) = 0.00
- calculated total energy (eV per atom) = -3.0610

a = 4.2223 Å, b = 4.2228 Å, c = 7.6800 Å
α = 90.01°, β = 90.00°, γ = 60.00°
Fractional positions:
Tl 0.6879 0.6499 0.4432
Cd 0.3549 0.3160 0.0271
S 0.0215 0.9827 0.1366
Cl 0.3546 0.3165 0.6902

=====

Entry 12:
Material: CrReOsSe2
Method: DFT, GGA-PBE
State: optimized geometry

Summary:
- total magnetic moment (μB/cell) = 0.55
- energy relative to the lowest polymorph listed for this composition (meV per atom) = 23

a = 4.7385 Å, b = 4.8532 Å, c = 4.7385 Å
α = 90.00°, β = 90.00°, γ = 90.00°
Last column: magnetic moment on the atom in μB.
Fractional positions:
Re 0.0000 0.0000 0.0000  -0.36
Os 0.5000 0.5000 0.5000  -2.53
Se 0.0000 0.0000 0.5000  -0.05
Se 0.5000 0.0000 0.0000  0.04
Cr 0.0000 0.5000 0.0000  3.39